Entry from Alexandria via LeMat-Bulk: a relaxed structure of LiPdO2F (GGA-PBEsol). Values from VASP.

calculated total energy: -20.2 eV per cell
V: 50.3 Å³/f.u.

Structure (Quantum ESPRESSO input):
```
&SYSTEM
  ibrav = 0, nat = 5, ntyp = 4
/
ATOMIC_SPECIES
O 16.00 O.upf
Li 6.94 Li.upf
Pd 106.42 Pd.upf
F 19.00 F.upf
ATOMIC_POSITIONS angstrom
O 0.0000 0.0000 2.0001
O 0.0000 2.0001 0.0000
Li 1.5703 0.0000 0.0000
Pd 1.5703 2.0001 2.0001
F 0.0000 0.0000 0.0000
CELL_PARAMETERS angstrom
3.1406 0.0000 0.0000
0.0000 4.0003 0.0000
0.0000 0.0000 4.0003
```